Entry 1:
A plane-wave DFT calculation with PBE-GGA was carried out for a relaxed Zr2TaNb2 crystal.

- raw total energy (eV per atom) = -9.01
- crystal system = trigonal
- DFT formation energy (eV per formula unit) = 4.071

Lattice parameters (Å, degrees): 4.6596 4.6596 5.8910 90.00 90.00 120.00
Space group P-3m1 (No. 164)
Symmetry-distinct sites (fractional):
Zr1 0.3333 0.6667 0.1551
Ta1 0.0000 0.0000 0.0000
Nb1 0.3333 0.6667 0.6297

***

Entry 2:
A plane-wave DFT calculation with PBE-GGA was carried out for a relaxed Tb2Nb crystal.

- raw total energy (eV per atom) = -5.53
- crystal system = cubic
- DFT formation energy (eV per formula unit) = 2.762

Lattice parameters (Å, degrees): 8.552 8.552 8.552 90.00 90.00 90.00
Space group Fd-3m (No. 227, origin choice 2)
Symmetry-distinct sites (fractional):
Tb1 0.000 0.000 0.000
Nb1 0.125 0.125 0.625

***

Entry 3:
A plane-wave DFT calculation with PBE-GGA was carried out for a relaxed TbNbTe crystal.

- raw total energy (eV per atom) = -5.93
- crystal system = cubic
- offset from the most stable computed form (meV/atom) = 0

Lattice parameters (Å, degrees): 6.797 6.797 6.797 90.00 90.00 90.00
Space group F-43m (No. 216)
Symmetry-distinct sites (fractional):
Tb1 0.000 0.000 0.000
Nb1 0.000 0.000 0.500
Te1 0.250 0.250 0.750

***

Entry 4:
A plane-wave DFT calculation with PBE-GGA was carried out for a relaxed TbThNb crystal.

- raw total energy (eV per atom) = -6.78
- crystal system = cubic
- DFT formation energy (eV per formula unit) = 1.805

Lattice parameters (Å, degrees): 7.049 7.049 7.049 90.00 90.00 90.00
Space group F-43m (No. 216)
Symmetry-distinct sites (fractional):
Tb1 0.000 0.000 0.000
Th1 0.000 0.000 0.500
Nb1 0.250 0.250 0.250

***

Entry 5:
A plane-wave DFT calculation with PBE-GGA was carried out for a relaxed TbUNb crystal.

- raw total energy (eV per atom) = -7.70
- crystal system = cubic
- DFT formation energy (eV per formula unit) = 2.926
- offset from the most stable computed form (meV/atom) = 0

Lattice parameters (Å, degrees): 6.826 6.826 6.826 90.00 90.00 90.00
Space group F-43m (No. 216)
Symmetry-distinct sites (fractional):
Tb1 0.000 0.000 0.000
U1 0.000 0.000 0.500
Nb1 0.250 0.250 0.250

***

Entry 6:
A plane-wave DFT calculation with PBE-GGA was carried out for a relaxed TbNbW crystal.

- raw total energy (eV per atom) = -8.45
- crystal system = cubic
- DFT formation energy (eV per formula unit) = 2.319
- offset from the most stable computed form (meV/atom) = 0

Lattice parameters (Å, degrees): 6.527 6.527 6.527 90.00 90.00 90.00
Space group F-43m (No. 216)
Symmetry-distinct sites (fractional):
Tb1 0.000 0.000 0.000
Nb1 0.000 0.000 0.500
W1 0.250 0.250 0.750

***

Q: What is the formula in the fourth record?
A: TbThNb

***

Q: Look up the raw total energy of the sixth one.
A: -8.45 eV per atom

***

Copy entry 3 word for word.
A plane-wave DFT calculation with PBE-GGA was carried out for a relaxed TbNbTe crystal.

- raw total energy (eV per atom) = -5.93
- crystal system = cubic
- offset from the most stable computed form (meV/atom) = 0

Lattice parameters (Å, degrees): 6.797 6.797 6.797 90.00 90.00 90.00
Space group F-43m (No. 216)
Symmetry-distinct sites (fractional):
Tb1 0.000 0.000 0.000
Nb1 0.000 0.000 0.500
Te1 0.250 0.250 0.750